Compound: Rb2LiZnF6
Source: OQMD via LeMat-Bulk
Functional: PBE
Structure: relaxed

Geometry as extended XYZ:
```
20
Lattice="-2.035 0.100 -5.289 5.276 -0.396 -2.037 1.458 -8.138 5.357" Properties=species:S:1:pos:R:3 pbc="T T T"
F 3.911 -8.357 -0.121
F -0.225 -0.030 -4.456
F 0.789 -0.076 -1.849
F 4.107 -2.311 -4.658
F 0.548 -4.102 -1.794
F 0.592 -6.122 2.688
F 4.925 -8.403 2.486
F 2.222 -6.184 -0.969
F 1.543 -4.147 0.820
F 3.156 -4.286 -2.790
F 4.151 -4.331 -0.175
F 2.478 -2.249 -1.000
Rb -0.426 -6.029 0.048
Rb 3.230 -6.277 1.675
Rb 1.469 -2.156 -3.644
Rb 5.125 -2.405 -2.017
Li 0.729 -4.069 2.679
Li 2.638 -0.198 -1.019
Zn -1.017 0.050 -2.645
Zn 2.350 -4.217 -0.985
```

## Properties
- relative energy among the computed polymorphs (eV/atom) = 0.000
- space group = P2_1/c, No. 14

Compound: SrLiZnF6
Source: OQMD via LeMat-Bulk
Functional: PBE
Structure: relaxed

Geometry as extended XYZ:
```
18
Lattice="5.068 0.000 0.000 -2.534 4.389 0.000 0.000 0.000 10.112" Properties=species:S:1:pos:R:3 pbc="T T T"
Zn 2.534 1.463 7.584
Zn 0.000 2.926 2.528
F -1.568 2.726 6.459
F 3.492 2.721 1.403
F 1.923 0.005 3.653
F 4.102 1.663 3.653
F 0.966 1.663 1.403
F 3.145 0.005 1.403
F -0.611 4.384 8.708
F -0.957 1.668 8.708
F 0.957 1.668 6.459
F 1.577 2.721 3.653
F 0.611 4.384 6.459
F 1.568 2.726 8.708
Sr 0.000 0.000 5.056
Sr 0.000 0.000 0.000
Li 2.534 1.463 2.528
Li 0.000 2.926 7.584
```

## Properties
- space group = P-31c, No. 163
- total energy (eV/atom) = -4.47

Compound: SrLiZrF6
Source: OQMD via LeMat-Bulk
Functional: PBE
Structure: relaxed

Geometry as extended XYZ:
```
18
Lattice="5.232 0.000 0.000 -2.616 4.531 0.000 0.000 0.000 10.096" Properties=species:S:1:pos:R:3 pbc="T T T"
F -1.577 2.927 3.686
F -0.707 4.433 1.363
F 1.577 2.927 1.363
F 1.909 0.098 6.411
F 0.707 4.433 3.686
F 1.039 1.604 8.734
F 1.746 2.829 6.411
F 3.323 0.098 8.734
F 4.192 1.604 6.411
F 0.870 1.702 3.686
F 3.485 2.829 8.734
F -0.870 1.702 1.363
Sr 0.000 0.000 5.048
Sr 0.000 0.000 0.000
Zr 2.616 1.510 2.524
Zr 0.000 3.020 7.572
Li 0.000 3.020 2.524
Li 2.616 1.510 7.572
```

## Properties
- space group = P-31c, No. 163
- total energy (eV/atom) = -5.92

Compound: LiTcF6
Source: OQMD via LeMat-Bulk
Functional: PBE
Structure: relaxed

Geometry as extended XYZ:
```
8
Lattice="0.000 3.762 3.762 3.762 0.000 3.762 3.762 3.762 0.000" Properties=species:S:1:pos:R:3 pbc="T T T"
F 5.645 3.762 3.762
F 3.762 5.645 3.762
F 1.879 3.762 3.762
F 3.762 3.762 5.645
F 3.762 3.762 1.879
F 3.762 1.879 3.762
Li 3.762 3.762 3.762
Tc 0.000 0.000 0.000
```

## Properties
- space group = Fm-3m, No. 225
- total energy (eV/atom) = -5.22

Compound: LiTl2TcF6
Source: OQMD via LeMat-Bulk
Functional: PBE
Structure: relaxed

Geometry as extended XYZ:
```
20
Lattice="5.735 0.000 0.000 -0.077 5.753 0.000 -0.098 -0.089 8.138" Properties=species:S:1:pos:R:3 pbc="T T T"
F 2.734 5.704 2.031
F 5.591 2.783 6.100
F 2.826 -0.040 6.107
F 4.189 4.289 4.070
F -0.031 2.881 2.039
F 1.371 1.375 4.068
F 1.373 4.313 0.041
F 4.187 1.351 8.098
F 1.332 4.270 4.029
F 1.408 1.455 0.001
F 4.152 4.209 8.137
F 4.228 1.394 4.110
Tl -0.126 5.665 6.105
Tl 2.829 2.833 2.036
Tl 5.686 -0.001 2.033
Tl 2.731 2.831 6.102
Li 2.818 -0.045 4.069
Li -0.039 2.877 0.000
Tc -0.087 2.832 4.069
Tc 2.867 0.000 0.000
```

## Properties
- relative energy among the computed polymorphs (eV/atom) = 0.000
- space group = P-1, No. 2

Compound: LiTl2TcF6
Source: OQMD via LeMat-Bulk
Functional: PBE
Structure: relaxed

Geometry as extended XYZ:
```
10
Lattice="-0.528 -5.587 -0.897 3.221 -0.959 4.583 -4.663 3.214 0.475" Properties=species:S:1:pos:R:3 pbc="T T T"
F 0.671 -1.631 0.918
F -0.331 -3.303 3.016
F 2.023 -4.915 2.768
F -1.639 -0.029 1.146
F 2.295 -2.102 3.229
F 0.399 -4.444 0.457
Tl -0.048 -0.509 3.451
Tl -1.922 -2.823 0.711
Tc 1.347 -3.273 1.843
Li 0.000 0.000 0.000
```

## Properties
- relative energy among the computed polymorphs (eV/atom) = 0.023
- space group = I4/mmm, No. 139

| no. | volume (Å³/atom) |
| --- | --- |
| 1 | 12.9 |
| 2 | 12.5 |
| 3 | 13.3 |
| 4 | 13.3 |
| 5 | 13.4 |
| 6 | 13.1 |